Arrangement one

YTh2Nb, optimized geometry, DFT PBE; space group = R-3m; calculated density = 9.246 g cm⁻³; DOS at the Fermi energy = 1.570 states/eV/atom
1.0
3.356 0.000 0.000
-1.678 2.907 0.000
0.000 0.000 35.674
Y Th Nb
3 6 3
Cartesian
0.000 0.000 0.000
0.000 1.938 23.783
1.678 0.969 11.891
0.000 0.000 14.962
0.000 0.000 20.713
0.000 1.938 3.070
0.000 1.938 8.821
1.678 0.969 26.853
1.678 0.969 32.604
0.000 0.000 17.837
0.000 1.938 5.946
1.678 0.969 29.728



Arrangement two

YTh2Nb, optimized geometry, DFT PBE; space group = P4/mmm; calculated density = 9.401 g cm⁻³; DOS at the Fermi energy = 1.542 states/eV/atom
1.0
3.671 0.000 0.000
0.000 3.671 0.000
0.000 0.000 8.463
Y Th Nb
1 2 1
Cartesian
0.000 0.000 0.000
1.836 1.836 2.408
1.836 1.836 6.055
0.000 0.000 4.232



Short version: arrangement two is the most stable of them.



Arrangement one

Th2NbZn, optimized geometry, DFT PBE; space group = P4/mmm; calculated density = 10.422 g cm⁻³; DOS at the Fermi energy = 1.485 states/eV/atom
1.0
5.137 0.000 0.000
0.000 5.137 0.000
0.000 0.000 3.759
Th Nb Zn
2 1 1
Cartesian
0.000 2.568 0.000
2.568 0.000 0.000
0.000 0.000 1.879
2.568 2.568 1.879



Arrangement two

Th2NbZn, optimized geometry, DFT PBE; space group = R-3m; calculated density = 10.038 g cm⁻³; DOS at the Fermi energy = 1.478 states/eV/atom
1.0
3.263 0.000 0.000
-1.632 2.826 0.000
0.000 0.000 33.494
Th Nb Zn
6 3 3
Cartesian
0.000 0.000 2.962
0.000 0.000 30.532
0.000 1.884 19.367
0.000 1.884 25.292
1.632 0.942 8.202
1.632 0.942 14.127
0.000 0.000 0.000
0.000 1.884 22.329
1.632 0.942 11.165
0.000 0.000 16.747
0.000 1.884 5.582
1.632 0.942 27.912



Short version: arrangement one is the most stable of them.